Entry 1:
Density functional theory data (PBE) for crystalline ScIn4 at its relaxed geometry.

## Properties
Spin magnetization, μB/f.u.: 0.00
Symmetry: No. 229
Energy above the most stable polymorph in this dataset, eV/atom: 0.209
Volume, Å³/atom: 30.70
ΔE_f, eV per atom: 0.066
Energy, eV/atom: -3.39
DOS(E_F), states/eV per cell: 6.57

abc: 5.8421 5.8421 5.8421
angles: 109.47 109.47 109.47
Positions (direct):
Sc  0.0000  0.0000  0.0000
In  0.0000  0.0000  0.5000
In  0.0000  0.5000  0.0000
In  0.5000  0.0000  0.0000
In  0.5000  0.5000  0.5000

***

Entry 2:
Density functional theory data (PBE) for crystalline SiHg2Ir at its relaxed geometry.

## Properties
Spin magnetization, μB/f.u.: 0.00
Symmetry: No. 65
Volume, Å³/atom: 19.00
E_form (uncorrected), meV/atom: 626
Energy, eV/atom: -3.10
DOS(E_F), states/eV per cell: 3.36

abc: 2.9489 2.9489 10.3310
angles: 90.00 90.00 122.24
Positions (direct):
Si  0.0000  0.0000  0.0000
Hg  0.5000  0.5000  0.2625
Hg  0.5000  0.5000  0.7375
Ir  0.0000  0.0000  0.5000

***

Entry 3:
Density functional theory data (PBE) for crystalline HfGaCoTc at its relaxed geometry.

## Properties
Spin magnetization, μB/f.u.: 0.33
Symmetry: No. 47
Volume, Å³/atom: 14.85
ΔE_f, eV per atom: -0.375
Energy, eV/atom: -7.99
DOS(E_F), states/eV per cell: 4.35

abc: 3.2980 4.1681 4.3211
angles: 90.00 90.00 90.00
Positions (direct):
Hf  0.0000  0.0000  0.0000
Ga  0.0000  0.5000  0.5000
Co  0.5000  0.5000  0.0000
Tc  0.5000  0.0000  0.5000

***

Entry 4:
Density functional theory data (PBE) for crystalline Re4TcB2 at its relaxed geometry.

## Properties
Spin magnetization, μB/f.u.: 0.00
Symmetry: No. 11
Energy above the most stable polymorph in this dataset, eV/atom: 0.000
Volume, Å³/atom: 12.66
ΔE_f, eV per atom: 0.077
Energy, eV/atom: -10.42
DOS(E_F), states/eV per cell: 8.54

abc: 6.1366 4.9986 6.2186
angles: 90.00 111.67 90.00
Positions (direct):
Re  0.0240  0.2500  0.4037
Re  0.2376  0.7500  0.3323
Re  0.3975  0.0071  0.7643
Re  0.3975  0.4929  0.7643
Re  0.6025  0.5071  0.2357
Re  0.6025  0.9929  0.2357
Re  0.7624  0.2500  0.6677
Re  0.9760  0.7500  0.5963
Tc  0.1658  0.2500  0.0428
Tc  0.8342  0.7500  0.9572
B  0.2335  0.7500  0.9773
B  0.3944  0.2500  0.4206
B  0.6056  0.7500  0.5794
B  0.7665  0.2500  0.0227

***

Entry 5:
Density functional theory data (PBE) for crystalline TlCrFe2 at its relaxed geometry.

## Properties
Spin magnetization, μB/f.u.: 6.71
Symmetry: No. 160
Energy above the most stable polymorph in this dataset, eV/atom: 0.244
Volume, Å³/atom: 15.48
ΔE_f, eV per atom: 0.711
Energy, eV/atom: -6.52
DOS(E_F), states/eV per cell: 5.02

abc: 8.5134 8.5134 8.5134
angles: 19.80 19.80 19.80
Positions (direct):
Tl  0.0000  0.0000  0.0000
Cr  0.2376  0.2376  0.2376
Fe  0.4984  0.4984  0.4984
Fe  0.7617  0.7617  0.7617

***

Entry 6:
Density functional theory data (PBE) for crystalline SmGaIr4 at its relaxed geometry.

## Properties
Spin magnetization, μB/f.u.: 0.00
Symmetry: No. 216
Volume, Å³/atom: 17.67
ΔE_f, eV per atom: -0.295
Energy, eV/atom: -7.49
DOS(E_F), states/eV per cell: 9.01

abc: 5.3123 5.3123 5.3123
angles: 60.00 60.00 60.00
Positions (direct):
Sm  0.0000  0.0000  0.0000
Ga  0.7500  0.7500  0.7500
Ir  0.3756  0.3756  0.3756
Ir  0.3756  0.3756  0.8731
Ir  0.3756  0.8731  0.3756
Ir  0.8731  0.3756  0.3756

***

Entry 7:
Density functional theory data (PBE) for crystalline Cs2YPbBr6 at its relaxed geometry.

## Properties
Spin magnetization, μB/f.u.: 1.00
Symmetry: No. 2
Energy above the most stable polymorph in this dataset, eV/atom: 0.000
Volume, Å³/atom: 42.96
E_form (uncorrected), meV/atom: -1540
Energy, eV/atom: -3.73

abc: 7.6457 7.9907 8.2481
angles: 116.03 105.39 92.19
Positions (direct):
Cs  0.2204  0.2144  0.4368
Cs  0.7796  0.7856  0.5632
Y  0.0000  0.5000  0.0000
Pb  0.5000  0.0000  0.0000
Br  0.1808  0.1851  0.8749
Br  0.1867  0.6602  0.8328
Br  0.2730  0.6886  0.3522
Br  0.7270  0.3114  0.6478
Br  0.8133  0.3398  0.1672
Br  0.8192  0.8149  0.1251

***

Entry 8:
Density functional theory data (PBE) for crystalline HfAlPd4 at its relaxed geometry.

## Properties
Spin magnetization, μB/f.u.: 0.00
Symmetry: No. 12
Volume, Å³/atom: 16.95
ΔE_f, eV per atom: -0.586
Energy, eV/atom: -6.33
DOS(E_F), states/eV per cell: 2.83

abc: 4.6252 4.6252 8.4006
angles: 113.36 113.36 38.59
Positions (direct):
Hf  0.0000  0.0000  0.0000
Al  0.5000  0.5000  0.5000
Pd  0.1443  0.1443  0.3578
Pd  0.3458  0.3458  0.1607
Pd  0.6542  0.6542  0.8393
Pd  0.8557  0.8557  0.6422